[1]
Density functional theory data (PBE) for SrAcAlCd after structural relaxation.

Lattice parameters (Å, degrees): 3.9635 3.9635 8.2395 90.00 90.00 90.00
Closest atoms and distances in Å follow each position.
Space group P4mm (No. 99)
Symmetry-distinct sites (fractional):
Sr  0.0000  0.0000  0.0000 [1 per cell]  4 Al 3.45, 4 Cd 3.51
Ac  0.0000  0.0000  0.5220 [1 per cell]  4 Al 3.40, 4 Cd 3.56
Al  0.5000  0.5000  0.7549 [1 per cell]  4 Ac 3.40, 4 Sr 3.45
Cd  0.5000  0.5000  0.2564 [1 per cell]  4 Sr 3.51, 4 Ac 3.56

**Energy relative to the elements**: -93 kJ/mol of formula units


[2]
Density functional theory data (PBE) for CsMg2Tl8 after structural relaxation.

Lattice parameters (Å, degrees): 6.8178 6.8178 10.0975 90.00 90.00 90.00
Closest atoms and distances in Å follow each position.
Space group P4/mmm (No. 123)
Symmetry-distinct sites (fractional):
Cs  0.0000  0.0000  0.0000 [1 per cell]  8 Tl 4.05
Mg  0.0000  0.5000  0.5000 [2 per cell]  8 Tl 3.02
Tl  0.2540  0.2540  0.3197 [8 per cell]  2 Mg 3.02, 2 Tl 3.35

**Energy relative to the elements**: 147 kJ/mol of formula units


[3]
Density functional theory data (PBE) for Er4CoHg2 after structural relaxation.

Lattice parameters (Å, degrees): 5.0081 5.0081 15.1701 90.00 90.00 90.00
Closest atoms and distances in Å follow each position.
Space group I4/mmm (No. 139)
Symmetry-distinct sites (fractional):
Er  0.0000  0.0000  0.1748 [4 per cell]  1 Co 2.65, 1 Hg 2.97
Er  0.0000  0.5000  0.0000 [4 per cell]  2 Co 2.50
Co  0.0000  0.0000  0.0000 [2 per cell]  6 Er 2.50-2.65
Hg  0.0000  0.0000  0.3705 [4 per cell]  5 Er 2.97-3.18

**Energy relative to the elements**: -138 kJ/mol of formula units


[4]
Density functional theory data (PBE) for Ac3Mg2In9 after structural relaxation.

Lattice parameters (Å, degrees): 4.8293 11.3496 14.4488 90.00 90.00 90.00
Closest atoms and distances in Å follow each position.
Space group Immm (No. 71)
Symmetry-distinct sites (fractional):
Ac  0.0000  0.0000  0.0000 [2 per cell]  12 In 3.66-3.74
Ac  0.0000  0.0000  0.3119 [4 per cell]  10 In 3.55-3.64, 2 Mg 3.59
Mg  0.0000  0.2063  0.5000 [4 per cell]  6 In 2.98-3.14
In  0.0000  0.2791  0.1381 [8 per cell]  4 In 2.97-3.20, 2 Mg 3.14
In  0.0000  0.3703  0.3393 [8 per cell]  4 In 2.94-3.09, 1 Mg 2.98
In  0.0000  0.5000  0.0000 [2 per cell]  4 In 3.20, 4 Mg 3.36

**Energy relative to the elements**: -491 kJ/mol of formula units


[5]
Density functional theory data (PBE) for NdCo2SiN after structural relaxation.

Lattice parameters (Å, degrees): 3.6900 10.8381 6.8153 90.00 90.00 90.00
Closest atoms and distances in Å follow each position.
Space group Cmcm (No. 63)
Symmetry-distinct sites (fractional):
Nd  0.0000  0.0468  0.2500 [4 per cell]  4 N 2.56
Co  0.0000  0.3353  0.0557 [8 per cell]  1 N 1.83
Si  0.0000  0.2280  0.7500 [4 per cell]  6 Co 2.37-2.39
N  0.0000  0.5000  0.0000 [4 per cell]  2 Co 1.83

**Formation energy without anion corrections**: -3.78 eV per formula unit


[6]
Density functional theory data (PBE) for Zr4AgHg5 after structural relaxation.

Lattice parameters (Å, degrees): 3.1918 3.1918 20.8493 90.00 90.00 90.00
Closest atoms and distances in Å follow each position.
Space group P4/mmm (No. 123)
Symmetry-distinct sites (fractional):
Zr  0.0000  0.0000  0.1012 [2 per cell]  8 Hg 3.09-3.10, 4 Zr 3.19
Zr  0.0000  0.0000  0.3031 [2 per cell]  8 Hg 3.07-3.10, 4 Zr 3.19
Ag  0.0000  0.0000  0.5000 [1 per cell]  8 Hg 3.00, 4 Ag 3.19
Hg  0.5000  0.5000  0.0000 [1 per cell]  8 Zr 3.09, 4 Hg 3.19
Hg  0.5000  0.5000  0.2031 [2 per cell]  8 Zr 3.07-3.10, 4 Hg 3.19
Hg  0.5000  0.5000  0.4050 [2 per cell]  4 Ag 3.00, 4 Zr 3.10, 4 Hg 3.19

**Energy relative to the elements**: -123 kJ/mol of formula units


[7]
Density functional theory data (PBE) for Ac4La4Ho after structural relaxation.

Lattice parameters (Å, degrees): 11.4969 11.4969 5.4169 90.00 90.00 90.00
Closest atoms and distances in Å follow each position.
Space group I4/mmm (No. 139)
Symmetry-distinct sites (fractional):
Ac  0.1650  0.1650  0.0000 [8 per cell]  4 Ac 3.79-3.87, 2 Ho 3.81, 6 La 3.85
La  0.0000  0.3373  0.5000 [8 per cell]  5 La 3.74-3.79, 6 Ac 3.85, 1 Ho 3.88
Ho  0.0000  0.0000  0.5000 [2 per cell]  8 Ac 3.81, 4 La 3.88

**Energy relative to the elements**: 27 kJ/mol of formula units


[8]
Density functional theory data (PBE) for MnTl2Ir after structural relaxation.

Lattice parameters (Å, degrees): 3.1521 5.4167 9.3164 90.00 90.00 90.00
Closest atoms and distances in Å follow each position.
Space group Cmmm (No. 65)
Symmetry-distinct sites (fractional):
Mn  0.0000  0.0000  0.0000 [2 per cell]  4 Tl 2.84, 6 Mn 3.13-3.15
Tl  0.0000  0.5000  0.2534 [4 per cell]  2 Ir 2.79, 2 Mn 2.84
Ir  0.0000  0.0000  0.5000 [2 per cell]  4 Tl 2.79

**Energy relative to the elements**: 249 kJ/mol of formula units


[9]
Density functional theory data (PBE) for YV3Co after structural relaxation.

Lattice parameters (Å, degrees): 4.4903 4.4903 4.4903 90.00 90.00 90.00
Closest atoms and distances in Å follow each position.
Space group Pm-3m (No. 221)
Symmetry-distinct sites (fractional):
Y  0.0000  0.0000  0.0000 [1 per cell]  12 V 3.18
V  0.0000  0.5000  0.5000 [3 per cell]  2 Co 2.25
Co  0.5000  0.5000  0.5000 [1 per cell]  6 V 2.25

**Energy relative to the elements**: 246 kJ/mol of formula units


[10]
Density functional theory data (PBE) for EuHo after structural relaxation.

Lattice parameters (Å, degrees): 3.5950 5.7631 7.0619 90.00 102.89 90.00
Closest atoms and distances in Å follow each position.
Space group P2_1/m (No. 11)
Symmetry-distinct sites (fractional):
Eu  0.1538  0.2500  0.3432 [2 per cell]  4 Eu 3.59-3.94, 7 Ho 3.66-3.73
Ho  0.4534  0.2500  0.8739 [2 per cell]  4 Ho 3.36-3.59, 7 Eu 3.66-3.73

**Energy relative to the elements**: 25 kJ/mol of formula units


no.,M_tot (μB/f.u.)
1,0.000
2,0.000
3,0.000
4,0.000
5,1.063
6,0.012
7,0.003
8,3.602
9,3.713
10,7.724